1.
Compound: Pr2TaMn2N6
Source: Alexandria
Functional: PBE-GGA
Structure: optimized geometry

Structure (POSCAR):
```
Pr2TaMn2N6
1.0
2.8690 1.6564 5.2627
-2.8690 1.6564 5.2627
0.0000 -3.3128 5.2627
Pr Ta Mn N
2 1 2 6
Direct
0.2202 0.2202 0.2202 Pr
0.7798 0.7798 0.7798 Pr
0.0000 0.0000 0.0000 Ta
0.4376 0.4376 0.4376 Mn
0.5624 0.5624 0.5624 Mn
0.2418 0.7565 0.7565 N
0.2435 0.2435 0.7582 N
0.2435 0.7582 0.2435 N
0.7565 0.2418 0.7565 N
0.7565 0.7565 0.2418 N
0.7582 0.2435 0.2435 N
```

As for the symmetry: R-3m. As for the uncorrected formation energy: -0.7251 eV per atom.

=====

2.
Compound: Tb3Er2In3
Source: Alexandria
Functional: PBE-GGA
Structure: optimized geometry

Structure (POSCAR):
```
Tb3Er2In3
1.0
-1.8787 2.6697 11.1397
1.8787 -2.6697 11.1397
1.8787 2.6697 -11.1397
Tb Er In
3 2 3
Direct
0.0000 0.0000 0.0000 Tb
0.3752 0.8752 0.5000 Tb
0.6248 0.1248 0.5000 Tb
0.2353 0.2353 0.0000 Er
0.7647 0.7647 0.0000 Er
0.1204 0.6204 0.5000 In
0.5000 0.5000 0.0000 In
0.8796 0.3796 0.5000 In
```

The value obtained for the energy relative to the elements is -2.94 eV per formula unit. As for the symmetry: Immm.

=====

3.
Compound: HfPtO2
Source: Alexandria
Functional: PBE-GGA
Structure: optimized geometry

Structure (POSCAR):
```
HfPtO2
1.0
0.0000 2.8737 2.8737
2.8737 0.0000 2.8737
2.8737 2.8737 0.0000
Hf Pt O
1 1 2
Direct
0.0000 0.0000 0.0000 Hf
0.5000 0.5000 0.5000 Pt
0.2500 0.2500 0.2500 O
0.7500 0.7500 0.7500 O
```

As for the symmetry: Fm-3m. The calculation puts the distance to the lowest polymorph of the same formula at 924.1 meV/atom. As for the uncorrected formation energy: -1.0066 eV per atom.

=====

4.
Compound: GdSc2
Source: Alexandria
Functional: PBE-GGA
Structure: optimized geometry

Structure (POSCAR):
```
GdSc2
1.0
0.0000 4.4288 4.4288
4.4288 0.0000 4.4288
4.4288 4.4288 0.0000
Gd Sc
2 4
Direct
0.1250 0.1250 0.1250 Gd
0.8750 0.8750 0.8750 Gd
0.0000 0.5000 0.5000 Sc
0.5000 0.0000 0.5000 Sc
0.5000 0.5000 0.0000 Sc
0.5000 0.5000 0.5000 Sc
```

The value obtained for the energy relative to the elements is 0.52 eV per formula unit. As for the symmetry: Fd-3m. The calculation puts the distance to the lowest polymorph of the same formula at 114.4 meV/atom.

=====

5.
Compound: TmAlOs
Source: Alexandria
Functional: PBE-GGA
Structure: optimized geometry

Structure (POSCAR):
```
TmAlOs
1.0
-1.6424 1.6424 5.1088
1.6424 -1.6424 5.1088
1.6424 1.6424 -5.1088
Tm Al Os
1 1 1
Direct
0.0000 0.0000 0.0000 Tm
0.2899 0.2899 0.0000 Al
0.6768 0.6768 0.0000 Os
```

The value obtained for the energy relative to the elements is -1.18 eV per formula unit. As for the symmetry: I4mm.

=====

6.
Compound: ZrTi2S
Source: Alexandria
Functional: PBE-GGA
Structure: optimized geometry

Structure (POSCAR):
```
ZrTi2S
1.0
1.6413 0.9476 7.8147
-1.6413 0.9476 7.8147
0.0000 -1.8952 7.8147
Zr Ti S
1 2 1
Direct
0.0000 0.0000 0.0000 Zr
0.5632 0.5632 0.5632 Ti
0.7699 0.7699 0.7699 Ti
0.1672 0.1672 0.1672 S
```

As for the symmetry: R3m. As for the uncorrected formation energy: -0.5807 eV per atom.